1.
A plane-wave DFT calculation with GGA-PBEsol was carried out for a relaxed structure of SrP2Cl.

Structure (extended XYZ):
```
4
Lattice="-0.1214 -1.2523 3.3146 4.0554 -1.9056 -0.7203 2.6727 4.9448 1.9661" Properties=species:S:1:pos:R:3 pbc="T T T"
Cl 1.2757 1.8463 2.6404
P 1.3855 -0.9689 0.5532
P 2.5485 -2.1891 2.0411
Sr 3.3641 1.5196 0.6229
```

Its excess energy over the best structure of this formula in the dataset is 53 meV/atom. The formation energy without anion corrections comes out at -0.9214 eV/atom. The total energy comes out at -4.779 eV per atom.



2.
A plane-wave DFT calculation with GGA-PBEsol was carried out for a relaxed structure of SrP2Cl.

Structure (extended XYZ):
```
4
Lattice="4.9325 0.0000 0.0000 2.4662 4.2717 0.0000 2.4662 1.4239 4.0274" Properties=species:S:1:pos:R:3 pbc="T T T"
Cl 4.9325 2.8478 2.0137
P 0.0000 0.0000 0.0000
P 2.4662 1.4239 1.0068
Sr 7.3987 4.2717 3.0205
```

Its excess energy over the best structure of this formula in the dataset is 664 meV/atom. The formation energy without anion corrections comes out at -0.3103 eV/atom. The total energy comes out at -4.168 eV per atom.



3.
A plane-wave DFT calculation with GGA-PBEsol was carried out for a relaxed structure of SrTeP2Cl.

Structure (extended XYZ):
```
5
Lattice="-2.3747 3.0522 3.3530 -4.7467 -2.8810 -0.7393 1.4465 -3.4525 4.1672" Properties=species:S:1:pos:R:3 pbc="T T T"
Sr 0.0000 0.0000 0.0000
Te -2.8375 -1.6407 3.3905
P 0.7232 -1.7263 2.0836
P -2.3734 -1.4405 -0.3696
Cl -1.1873 1.5261 1.6765
```

The formation energy without anion corrections comes out at 0.6267 eV/atom. The total energy comes out at -3.165 eV per atom.



4.
A plane-wave DFT calculation with GGA-PBEsol was carried out for a relaxed structure of SrYPCl2.

Structure (extended XYZ):
```
5
Lattice="-2.8029 -0.1548 -4.2526 3.7345 -2.5306 -2.3694 -2.1873 -4.7391 1.6141" Properties=species:S:1:pos:R:3 pbc="T T T"
Y 0.0000 0.0000 0.0000
Sr -0.6278 -3.7123 -2.5039
P -1.0937 -2.3696 0.8071
Cl 1.8673 -1.2653 -1.1847
Cl -1.4015 -0.0774 -2.1263
```

The formation energy without anion corrections comes out at -1.5614 eV/atom. The total energy comes out at -5.255 eV per atom.



5.
A plane-wave DFT calculation with GGA-PBEsol was carried out for a relaxed structure of SrZrPCl2.

Structure (extended XYZ):
```
5
Lattice="4.9102 0.0000 0.0000 0.0000 4.9102 0.0000 0.0000 0.0000 5.1592" Properties=species:S:1:pos:R:3 pbc="T T T"
Sr 2.4551 2.4551 2.5796
P 0.0000 0.0000 2.5796
Zr 0.0000 0.0000 0.0000
Cl 0.0000 2.4551 0.0000
Cl 2.4551 0.0000 0.0000
```

The formation energy without anion corrections comes out at -1.3240 eV/atom. The total energy comes out at -5.471 eV per atom.



6.
A plane-wave DFT calculation with GGA-PBEsol was carried out for a relaxed structure of TaP2Cl.

Structure (extended XYZ):
```
4
Lattice="-3.0547 -0.4898 0.4421 0.4150 -4.2700 -1.8631 0.6255 0.4964 4.8725" Properties=species:S:1:pos:R:3 pbc="T T T"
Cl -1.3198 -2.3799 -0.7105
P 0.5203 -1.8868 1.5047
P 0.3128 0.2482 2.4363
Ta -1.5273 -0.2449 0.2210
```

Its excess energy over the best structure of this formula in the dataset is 160 meV/atom. The formation energy without anion corrections comes out at 0.1635 eV/atom. The total energy comes out at -6.372 eV per atom.



7.
A plane-wave DFT calculation with GGA-PBEsol was carried out for a relaxed structure of TaP2Cl.

Structure (extended XYZ):
```
4
Lattice="4.4522 0.0000 0.0000 2.2261 3.8558 0.0000 2.2261 1.2853 3.6352" Properties=species:S:1:pos:R:3 pbc="T T T"
Cl 0.0000 0.0000 0.0000
P 2.2261 1.2853 0.9088
P 6.6784 3.8558 2.7264
Ta 4.4522 2.5705 1.8176
```

Its excess energy over the best structure of this formula in the dataset is 410 meV/atom. The formation energy without anion corrections comes out at 0.4137 eV/atom. The total energy comes out at -6.122 eV per atom.



8.
A plane-wave DFT calculation with GGA-PBEsol was carried out for a relaxed structure of TaP2Cl.

Structure (extended XYZ):
```
4
Lattice="-0.9197 2.3988 -0.9558 -3.0609 0.2652 3.6107 3.2523 2.2788 2.5897" Properties=species:S:1:pos:R:3 pbc="T T T"
Cl -0.4598 1.1994 -0.4779
P 1.6261 1.1394 1.2948
P -1.5305 0.1326 1.8053
Ta -0.3642 2.4714 2.6223
```

Its excess energy over the best structure of this formula in the dataset is 402 meV/atom. The formation energy without anion corrections comes out at 0.4057 eV/atom. The total energy comes out at -6.130 eV per atom.



9.
A plane-wave DFT calculation with GGA-PBEsol was carried out for a relaxed structure of TaPCl10.

Structure (extended XYZ):
```
24
Lattice="-1.7372 6.5534 1.7348 0.7778 -3.7612 6.2428 13.0289 2.9821 0.1098" Properties=species:S:1:pos:R:3 pbc="T T T"
Cl 11.5268 4.4684 1.1289
Cl 0.5428 1.3059 6.9585
Cl 1.3478 0.0581 1.9350
Cl 10.7217 5.7161 6.1524
Cl 1.9540 -1.9304 5.3488
Cl 10.1156 7.7047 2.7386
Cl 6.0427 1.8001 2.3389
Cl 6.0269 3.9742 5.7485
Cl 6.1517 -0.2637 5.7773
Cl 5.9179 6.0380 2.3101
Cl 8.5222 2.6666 0.3009
Cl 3.5474 3.1077 7.7865
Cl 0.4104 3.1253 3.7167
Cl 11.6591 2.6489 4.3707
Cl 2.8932 4.9326 4.5396
Cl 9.1764 0.8416 3.5479
Cl 2.9667 3.3247 1.8018
Cl 9.1029 2.4495 6.2857
Cl 3.1728 1.7787 4.5545
Cl 8.8967 3.9956 3.5330
P 2.3468 3.2938 3.6434
P 9.7228 2.4804 4.4440
Ta 0.0000 0.0000 0.0000
Ta 6.5145 1.4911 0.0549
```

The formation energy without anion corrections comes out at -0.9927 eV/atom. The total energy comes out at -4.194 eV per atom.



10.
A plane-wave DFT calculation with GGA-PBEsol was carried out for a relaxed structure of TaP2Cl.

Structure (extended XYZ):
```
4
Lattice="2.7751 0.0104 0.0000 -0.6685 2.6934 0.0000 0.0000 0.0000 9.9291" Properties=species:S:1:pos:R:3 pbc="T T T"
Cl 1.0533 1.3519 0.0000
P 0.0000 0.0000 3.0736
P 0.0000 0.0000 6.8555
Ta 1.0533 1.3519 4.9645
```

Its excess energy over the best structure of this formula in the dataset is 0 meV/atom. The formation energy without anion corrections comes out at 0.0039 eV/atom. The total energy comes out at -6.532 eV per atom.



11.
A plane-wave DFT calculation with GGA-PBEsol was carried out for a relaxed structure of TaTePCl2.

Structure (extended XYZ):
```
5
Lattice="4.6260 0.0000 0.0000 0.0000 4.6260 0.0000 0.0000 0.0000 5.1852" Properties=species:S:1:pos:R:3 pbc="T T T"
Cl 0.0000 2.3130 0.0000
Cl 2.3130 0.0000 0.0000
Te 2.3130 2.3130 2.5926
P 0.0000 0.0000 2.5926
Ta 0.0000 0.0000 0.0000
```

The formation energy without anion corrections comes out at -0.0751 eV/atom. The total energy comes out at -5.252 eV per atom.



12.
A plane-wave DFT calculation with GGA-PBEsol was carried out for a relaxed structure of TaTlPCl2.

Structure (extended XYZ):
```
5
Lattice="5.0069 0.0000 0.0000 0.0000 5.0069 0.0000 0.0000 0.0000 5.1847" Properties=species:S:1:pos:R:3 pbc="T T T"
P 0.0000 0.0000 2.5923
Tl 0.0000 0.0000 0.0000
Cl 0.0000 2.5034 0.0000
Cl 2.5034 0.0000 0.0000
Ta 2.5034 2.5034 2.5923
```

The formation energy without anion corrections comes out at 1.2092 eV/atom. The total energy comes out at -3.788 eV per atom.